<i>
Material: ZnHgIr3
Method: DFT, PBE
State: relaxed

abc: 4.5615 4.5615 4.5615
angles: 90.00 90.00 90.00
With the nearest neighbours (Å) after each atom.
Element x y z (fractional)
1 Zn 0.0000 0.0000 0.0000  6 Ir 2.28
2 Hg 0.5000 0.5000 0.5000  12 Ir 3.23
3 Ir 0.0000 0.0000 0.5000  2 Zn 2.28
4 Ir 0.0000 0.5000 0.0000  2 Zn 2.28
5 Ir 0.5000 0.0000 0.0000  2 Zn 2.28

<ii>
Material: ZnHgIr3
Method: DFT, PBE
State: relaxed

abc: 4.9399 4.9399 4.9399
angles: 90.00 90.00 90.00
With the nearest neighbours (Å) after each atom.
Element x y z (fractional)
1 Zn 0.0000 0.0000 0.0000  12 Ir 3.49
2 Hg 0.5000 0.5000 0.5000  6 Ir 2.47
3 Ir 0.0000 0.5000 0.5000  2 Hg 2.47
4 Ir 0.5000 0.0000 0.5000  2 Hg 2.47
5 Ir 0.5000 0.5000 0.0000  2 Hg 2.47

What is the most stable structure shown above? It is <i>.